--- one ---
A plane-wave DFT calculation with PBE-GGA was carried out for a relaxed structure of LiDySe.

Properties
Theoretical density in kg/m3: 5928
Total magnetization in μB/f.u.: 0.001

Cell: 4.3712 4.3712 7.2829 Å, 90.00 90.00 90.00°
Space group P4/nmm (No. 129, origin choice 2)
Inequivalent atoms, fractional coordinates:
Li: 0.2500 0.2500 0.1387 x2
Dy: 0.2500 0.7500 0.5000 x2
Se: 0.2500 0.2500 0.7854 x2

***

--- two ---
A plane-wave DFT calculation with PBE-GGA was carried out for a relaxed structure of LiDySe.

Properties
Theoretical density in kg/m3: 7162
Total magnetization in μB/f.u.: 0.000

Cell: 4.1111 4.1111 3.9346 Å, 90.00 90.00 120.00°
Space group P-6m2 (No. 187)
Inequivalent atoms, fractional coordinates:
Li: 0.0000 0.0000 0.0000 x1
Dy: 0.3333 0.6667 0.5000 x1
Se: 0.6667 0.3333 0.0000 x1

***

Most stable to least stable, the ends of the list are two and one.